LiYSi2O6 | Alexandria | GGA-PBE | relaxed; E_form (uncorrected) = -2918 meV/atom; E = -156.31 eV for the cell shown; DOS(E_F) = 0.00 states/eV per cell; space group = C2/c, No. 15; V = 12.5 Å³ per atom
1.0
-4.5274 -2.6933 1.6785
0.0048 -6.0114 -3.5501
2.0280 -3.7578 5.5233
Li Si O Y
2 4 12 2
Direct
0.2500 0.2398 0.7602
0.7500 0.7602 0.2398
0.2012 0.3817 0.2181
0.7988 0.6183 0.7819
0.2988 0.7819 0.6183
0.7012 0.2181 0.3817
0.6246 0.1448 0.6089
0.5676 0.6390 0.6646
0.8754 0.3911 0.8552
0.1766 0.9584 0.7909
0.8234 0.0416 0.2091
0.1246 0.6089 0.1448
0.4324 0.3610 0.3354
0.3754 0.8552 0.3911
0.3234 0.2091 0.0416
0.9324 0.3354 0.3610
0.6766 0.7909 0.9584
0.0676 0.6646 0.6390
0.7500 0.1173 0.8827
0.2500 0.8827 0.1173

LiYSiO4 | Alexandria | GGA-PBE | relaxed; E_form (uncorrected) = -2824 meV/atom; E = -106.80 eV for the cell shown; DOS(E_F) = 0.00 states/eV per cell; space group = Imma, No. 74; V = 11.5 Å³ per atom
1.0
-1.4621 -4.1996 3.7481
4.1447 -1.9765 3.9143
-1.4935 1.5289 5.6425
O Y Si Li
8 2 2 2
Direct
0.7236 0.7284 0.8244
0.2518 0.7610 0.2610
0.2764 0.6756 0.7716
0.2737 0.2390 0.7390
0.7482 0.2390 0.7390
0.7236 0.3244 0.2284
0.7263 0.7610 0.2610
0.2764 0.2716 0.1756
0.0000 0.0000 0.0000
0.0000 0.5000 0.5000
0.3874 0.3626 0.8626
0.6126 0.6374 0.1374
0.5000 0.0000 0.5000
0.0000 0.0000 0.5000

LiYSiO4 | Alexandria | GGA-PBE | relaxed; E_form (uncorrected) = -3010 meV/atom; E = -218.80 eV for the cell shown; DOS(E_F) = 0.00 states/eV per cell; space group = P2_1/c, No. 14; V = 12.2 Å³ per atom
1.0
6.2567 0.0000 0.0000
0.0000 5.4551 -0.0033
0.0000 4.3804 10.0419
O Li Si Y
16 4 4 4
Direct
0.8580 0.2304 0.7771
0.1641 0.1860 0.5241
0.1420 0.7696 0.2229
0.3359 0.1860 0.0241
0.8359 0.8140 0.4759
0.0707 0.7736 0.9445
0.3370 0.2410 0.7473
0.5707 0.2264 0.5555
0.4293 0.7736 0.4445
0.3580 0.7696 0.7229
0.9293 0.2264 0.0555
0.6420 0.2304 0.2771
0.6630 0.7590 0.2527
0.1630 0.2410 0.2473
0.6641 0.8140 0.9759
0.8370 0.7590 0.7527
0.8658 0.0805 0.5701
0.6342 0.0805 0.0701
0.3658 0.9195 0.9299
0.1342 0.9195 0.4299
0.6517 0.9041 0.3595
0.3483 0.0959 0.6405
0.1517 0.0959 0.1405
0.8483 0.9041 0.8595
0.8839 0.5536 0.1522
0.6161 0.5536 0.6522
0.1161 0.4464 0.8478
0.3839 0.4464 0.3478